Below is a relaxed Co4Cu3BiO12 crystal, with properties calculated at the PBE with a Hubbard U level.

Output
Space-group type: Im-3 (204)
E_tot (eV per atom): -5.591

abc: 6.344 6.344 6.344
angles: 109.47 109.47 109.47
Atoms (fractional coordinates):
Co: 0.000 0.000 0.500
Co: 0.000 0.500 0.000
Co: 0.500 0.000 0.000
Co: 0.500 0.500 0.500
Cu: 0.000 0.500 0.500
Cu: 0.500 0.000 0.500
Cu: 0.500 0.500 0.000
Bi: 0.000 0.000 0.000
O: 0.137 0.310 0.827
O: 0.173 0.483 0.310
O: 0.173 0.863 0.690
O: 0.310 0.173 0.483
O: 0.310 0.827 0.137
O: 0.483 0.310 0.173
O: 0.517 0.690 0.827
O: 0.690 0.173 0.863
O: 0.690 0.827 0.517
O: 0.827 0.137 0.310
O: 0.827 0.517 0.690
O: 0.863 0.690 0.173